1.
The following is a GGA-PBE calculation of a relaxed HfScAs2Se crystal, from Alexandria via LeMat-Bulk.

## Properties
The energy relative to the lowest polymorph listed for this composition is 0.00 eV/f.u. The value obtained for the total energy is -30.3 eV for the cell shown. As for the space group: P4/mmm (123). The raw formation energy comes out at -22.90 kJ per mole of atoms.

Cell lengths 5.1085, 5.1085, 5.0829 Å; angles 90.00, 90.00, 90.00 degrees
With the nearest neighbours (Å) after each atom.
Atoms (fractional coordinates):
Hf  0.0000  0.0000  0.0000  2 Se 2.54, 4 As 2.55
Sc  0.5000  0.5000  0.5000  8 As 3.60, 4 Se 3.61
As  0.0000  0.5000  0.0000  2 Hf 2.55
As  0.5000  0.0000  0.0000  2 Hf 2.55
Se  0.0000  0.0000  0.5000  2 Hf 2.54

---

2.
The following is a GGA-PBE calculation of a relaxed CrReAu2 crystal, from Alexandria via LeMat-Bulk.

## Properties
The energy relative to the lowest polymorph listed for this composition is 2.17 eV/f.u. The value obtained for the total energy is -101.5 eV for the cell shown. As for the space group: Fm-3m (225). Its formation energy from the elements is 810 meV per atom.

Cell lengths 6.3189, 6.3189, 6.3189 Å; angles 90.00, 90.00, 90.00 degrees
With the nearest neighbours (Å) after each atom.
Atoms (fractional coordinates):
Cr  0.0000  0.0000  0.0000  8 Au 2.74
Cr  0.0000  0.5000  0.5000  8 Au 2.74
Cr  0.5000  0.0000  0.5000  8 Au 2.74
Cr  0.5000  0.5000  0.0000  8 Au 2.74
Re  0.0000  0.0000  0.5000  8 Au 2.74
Re  0.0000  0.5000  0.0000  8 Au 2.74
Re  0.5000  0.0000  0.0000  8 Au 2.74
Re  0.5000  0.5000  0.5000  8 Au 2.74
Au  0.2500  0.2500  0.2500  4 Re 2.74, 4 Cr 2.74
Au  0.2500  0.2500  0.7500  4 Cr 2.74, 4 Re 2.74
Au  0.2500  0.7500  0.2500  4 Cr 2.74, 4 Re 2.74
Au  0.2500  0.7500  0.7500  4 Re 2.74, 4 Cr 2.74
Au  0.7500  0.2500  0.2500  4 Cr 2.74, 4 Re 2.74
Au  0.7500  0.2500  0.7500  4 Re 2.74, 4 Cr 2.74
Au  0.7500  0.7500  0.2500  4 Re 2.74, 4 Cr 2.74
Au  0.7500  0.7500  0.7500  4 Cr 2.74, 4 Re 2.74

---

3.
The following is a GGA-PBE calculation of a relaxed TlRe2C2 crystal, from Alexandria via LeMat-Bulk.

## Properties
The energy relative to the lowest polymorph listed for this composition is 0.00 eV/f.u. The value obtained for the total energy is -84.5 eV for the cell shown. As for the space group: I4/mmm (139). Its formation energy from the elements is 696 meV per atom.

Cell lengths 3.9375, 3.9375, 11.9147 Å; angles 90.00, 90.00, 90.00 degrees
With the nearest neighbours (Å) after each atom.
Atoms (fractional coordinates):
Tl  0.0000  0.0000  0.0000  8 Re 3.57, 10 C 3.57-3.67, 4 Tl 3.94
Tl  0.5000  0.5000  0.5000  8 Re 3.57, 10 C 3.57-3.67, 4 Tl 3.94
Re  0.0000  0.5000  0.2500  4 C 2.06
Re  0.0000  0.5000  0.7500  4 C 2.06
Re  0.5000  0.0000  0.2500  4 C 2.06
Re  0.5000  0.0000  0.7500  4 C 2.06
C  0.0000  0.0000  0.2998  4 Re 2.06
C  0.0000  0.0000  0.7002  4 Re 2.06
C  0.5000  0.5000  0.2002  4 Re 2.06
C  0.5000  0.5000  0.7998  4 Re 2.06

---

4.
The following is a GGA-PBE calculation of a relaxed GaO2 crystal, from Alexandria via LeMat-Bulk.

## Properties
The energy relative to the lowest polymorph listed for this composition is 0.31 eV/f.u. The value obtained for the total energy is -64.3 eV for the cell shown. As for the space group: Fddd (70). The raw formation energy comes out at -100.94 kJ per mole of atoms.

Cell lengths 6.0086, 5.8762, 5.1575 Å; angles 65.61, 62.96, 51.42 degrees
With the nearest neighbours (Å) after each atom.
Atoms (fractional coordinates):
Ga  0.0844  0.6656  0.0844  6 O 1.92-2.10
Ga  0.3344  0.9156  0.3344  6 O 1.92-2.10
Ga  0.6656  0.0844  0.6656  6 O 1.92-2.10
Ga  0.9156  0.3344  0.9156  6 O 1.92-2.10
O  0.0000  0.5000  0.5000  2 Ga 1.92
O  0.0096  0.0096  0.7404  4 Ga 2.02-2.10
O  0.2596  0.2596  0.9904  4 Ga 2.02-2.10
O  0.5000  0.0000  0.5000  2 Ga 1.92
O  0.5000  0.5000  0.0000  2 Ga 1.92
O  0.5000  0.5000  0.5000  2 Ga 1.92
O  0.7404  0.7404  0.0096  4 Ga 2.02-2.10
O  0.9904  0.9904  0.2596  4 Ga 2.02-2.10

---

5.
The following is a GGA-PBE calculation of a relaxed PtPb2W2 crystal, from Alexandria via LeMat-Bulk.

## Properties
The energy relative to the lowest polymorph listed for this composition is 1.36 eV/f.u. The value obtained for the total energy is -67.6 eV for the cell shown. As for the space group: P4/mbm (127). Its formation energy from the elements is 1112 meV per atom.

Cell lengths 8.1686, 8.1686, 3.1354 Å; angles 90.00, 90.00, 90.00 degrees
With the nearest neighbours (Å) after each atom.
Atoms (fractional coordinates):
Pt  0.0000  0.0000  0.0000  4 Pb 2.98, 2 Pt 3.14
Pt  0.5000  0.5000  0.0000  4 Pb 2.98, 2 Pt 3.14
Pb  0.1862  0.3138  0.0000  6 W 2.87-2.93, 2 Pt 2.98, 2 Pb 3.14
Pb  0.3138  0.8138  0.0000  6 W 2.87-2.93, 2 Pt 2.98, 2 Pb 3.14
Pb  0.6862  0.1862  0.0000  6 W 2.87-2.93, 2 Pt 2.98, 2 Pb 3.14
Pb  0.8138  0.6862  0.0000  6 W 2.87-2.93, 2 Pt 2.98, 2 Pb 3.14
W  0.1059  0.6059  0.5000  1 W 2.45
W  0.3941  0.1059  0.5000  1 W 2.45
W  0.6059  0.8941  0.5000  1 W 2.45
W  0.8941  0.3941  0.5000  1 W 2.45

---

6.
The following is a GGA-PBE calculation of a relaxed Mg2CuAs crystal, from Alexandria via LeMat-Bulk.

## Properties
The value obtained for the total energy is -25.0 eV for the cell shown. As for the space group: I-4m2 (119). Its formation energy from the elements is -138 meV per atom.

Cell lengths 3.9348, 3.9348, 9.1110 Å; angles 90.00, 90.00, 90.00 degrees
With the nearest neighbours (Å) after each atom.
Atoms (fractional coordinates):
Mg  0.0000  0.0000  0.0000  4 Cu 2.78, 4 As 3.01, 4 Mg 3.01
Mg  0.0000  0.5000  0.2500  4 As 2.78, 4 Mg 3.01, 4 Cu 3.01
Mg  0.5000  0.0000  0.7500  4 As 2.78, 4 Mg 3.01, 4 Cu 3.01
Mg  0.5000  0.5000  0.5000  4 Cu 2.78, 4 As 3.01, 4 Mg 3.01
Cu  0.0000  0.0000  0.5000  8 Mg 2.78-3.01, 4 As 3.01
Cu  0.5000  0.5000  0.0000  8 Mg 2.78-3.01, 4 As 3.01
As  0.0000  0.5000  0.7500  8 Mg 2.78-3.01, 4 Cu 3.01
As  0.5000  0.0000  0.2500  8 Mg 2.78-3.01, 4 Cu 3.01

---

total energy of number 5 (PtPb2W2)?
-67.6 eV for the cell shown

---

Copy entry 6 word for word.
The following is a GGA-PBE calculation of a relaxed Mg2CuAs crystal, from Alexandria via LeMat-Bulk.

## Properties
The value obtained for the total energy is -25.0 eV for the cell shown. As for the space group: I-4m2 (119). Its formation energy from the elements is -138 meV per atom.

Cell lengths 3.9348, 3.9348, 9.1110 Å; angles 90.00, 90.00, 90.00 degrees
With the nearest neighbours (Å) after each atom.
Atoms (fractional coordinates):
Mg  0.0000  0.0000  0.0000  4 Cu 2.78, 4 As 3.01, 4 Mg 3.01
Mg  0.0000  0.5000  0.2500  4 As 2.78, 4 Mg 3.01, 4 Cu 3.01
Mg  0.5000  0.0000  0.7500  4 As 2.78, 4 Mg 3.01, 4 Cu 3.01
Mg  0.5000  0.5000  0.5000  4 Cu 2.78, 4 As 3.01, 4 Mg 3.01
Cu  0.0000  0.0000  0.5000  8 Mg 2.78-3.01, 4 As 3.01
Cu  0.5000  0.5000  0.0000  8 Mg 2.78-3.01, 4 As 3.01
As  0.0000  0.5000  0.7500  8 Mg 2.78-3.01, 4 Cu 3.01
As  0.5000  0.0000  0.2500  8 Mg 2.78-3.01, 4 Cu 3.01

---

Which of these has the highest total energy?
Mg2CuAs